1.
A geometry-optimized Cr2SbSe structure. Source: Alexandria, functional PBE.

The structure in extended XYZ format:
```
4
Lattice="-0.380 2.869 5.094 -2.153 -2.337 4.922 3.783 -1.145 -4.325" Properties=species:S:1:pos:R:3 pbc="T T T"
Cr 0.000 0.000 0.000
Cr 0.182 -1.608 2.803
Sb -1.267 0.266 5.008
Se 1.068 0.995 2.888
```

Output
- Polymorph energy (0 for the lowest one): 30.1 kJ per mole of atoms
- Crystal system: tetragonal
- Uncorrected formation energy: 28.66 kJ/mol of atoms
- Spin magnetization: 7.4 μB per cell

---

2.
A geometry-optimized CrSb2Se structure. Source: Alexandria, functional PBE.

The structure in extended XYZ format:
```
4
Lattice="-1.056 1.631 -2.401 -2.883 -0.915 0.628 -1.156 7.475 5.585" Properties=species:S:1:pos:R:3 pbc="T T T"
Sb -1.091 7.053 5.270
Sb -0.643 4.159 3.107
Se -2.258 2.227 0.510
Cr -2.836 5.964 3.302
```

Output
- Polymorph energy (0 for the lowest one): 27.1 kJ per mole of atoms
- Crystal system: orthorhombic
- Uncorrected formation energy: 30.25 kJ/mol of atoms
- Spin magnetization: 1.9 μB per cell

---

3.
A geometry-optimized CrSbSe structure. Source: Alexandria, functional PBE.

The structure in extended XYZ format:
```
3
Lattice="-5.062 4.988 -1.298 -6.747 2.129 1.459 6.633 -2.388 1.579" Properties=species:S:1:pos:R:3 pbc="T T T"
Cr -0.185 0.112 0.003
Sb -4.415 2.661 0.060
Se -7.209 4.345 0.098
```

Output
- Crystal system: tetragonal
- Uncorrected formation energy: -0.24 kJ/mol of atoms
- Spin magnetization: 0.9 μB per cell

---

4.
A geometry-optimized CrSb2Se structure. Source: Alexandria, functional PBE.

The structure in extended XYZ format:
```
4
Lattice="5.082 -0.005 0.000 -0.009 5.082 0.000 -2.536 -2.538 3.598" Properties=species:S:1:pos:R:3 pbc="T T T"
Cr 2.541 -0.002 1.799
Se 2.536 2.538 0.000
Sb -0.005 2.541 1.799
Sb 0.000 0.000 0.000
```

Output
- Polymorph energy (0 for the lowest one): 33.0 kJ per mole of atoms
- Crystal system: tetragonal
- Uncorrected formation energy: 36.15 kJ/mol of atoms
- Spin magnetization: 4.0 μB per cell